The following is a DFT calculation (SCAN) of a PBEsol-optimized structure of NiMo2Os.

Calculated values
- calculated volume (Å³/cell) = 55.16
- M_tot (μB per formula unit) = 0.00
- E above lowest polymorph (eV per atom) = 0.056
- calculated formation energy (kJ per mole of atoms) = 3

```
NiMo2Os
1.0
-1.889 -0.361 1.905
2.723 -0.998 2.511
0.508 5.080 1.468
Ni Mo Os
1 2 1
direct
0.500 0.500 0.000
0.000 0.000 0.751
0.000 0.000 0.249
0.500 0.500 0.500
```